(A)
DFT (PBE) results for a relaxed Ca2ReRu crystal.

CIF file:
```
data_Ca2ReRu
_chemical_formula_sum 'Ca4 Re2 Ru2'
_space_group_name_H-M_alt 'I m m 2'
_space_group_IT_number 44
_cell_length_a 3.925
_cell_length_b 5.090
_cell_length_c 9.327
_cell_angle_alpha 90.00
_cell_angle_beta 90.00
_cell_angle_gamma 90.00
loop_
_space_group_symop_operation_xyz
'x,y,z'
'-x,-y,z'
'-x,y,z'
'x,-y,z'
'x+1/2,y+1/2,z+1/2'
'-x+1/2,-y+1/2,z+1/2'
'-x+1/2,y+1/2,z+1/2'
'x+1/2,-y+1/2,z+1/2'
loop_
_atom_site_label
_atom_site_fract_x
_atom_site_fract_y
_atom_site_fract_z
Ca1 0.000 0.000 0.000
Ca2 0.000 0.500 0.218
Re1 0.000 0.000 0.423
Ru1 0.000 0.500 0.784
```



(B)
DFT (PBE) results for a relaxed Ca2ReRu crystal.

CIF file:
```
data_Ca2ReRu
_chemical_formula_sum 'Ca4 Re2 Ru2'
_space_group_name_H-M_alt 'I 4/m m m'
_space_group_IT_number 139
_space_group_name_Hall '-I 4 2'
_cell_length_a 4.002
_cell_length_b 4.002
_cell_length_c 9.653
_cell_angle_alpha 90.00
_cell_angle_beta 90.00
_cell_angle_gamma 90.00
loop_
_atom_site_label
_atom_site_fract_x
_atom_site_fract_y
_atom_site_fract_z
Ca1 0.000 0.500 0.250
Re1 0.000 0.000 0.000
Ru1 0.000 0.000 0.500
```



(C)
DFT (PBE) results for a relaxed Ca2ReRu crystal.

CIF file:
```
data_Ca2ReRu
_chemical_formula_sum 'Ca2 Re1 Ru1'
_space_group_name_H-M_alt 'P m m m'
_space_group_IT_number 47
_cell_length_a 3.010
_cell_length_b 4.774
_cell_length_c 5.387
_cell_angle_alpha 90.00
_cell_angle_beta 90.00
_cell_angle_gamma 90.00
loop_
_space_group_symop_operation_xyz
'x,y,z'
'-x,-y,-z'
'-x,-y,z'
'x,y,-z'
'x,-y,-z'
'-x,y,z'
'-x,y,-z'
'x,-y,z'
loop_
_atom_site_label
_atom_site_fract_x
_atom_site_fract_y
_atom_site_fract_z
Ca1 0.000 0.000 0.247
Re1 0.500 0.500 0.500
Ru1 0.500 0.500 0.000
```



(D)
DFT (PBE) results for a relaxed Ca2ReRu crystal.

CIF file:
```
data_Ca2ReRu
_chemical_formula_sum 'Ca2 Re1 Ru1'
_space_group_name_H-M_alt 'P 4/m m m'
_space_group_IT_number 123
_space_group_name_Hall '-P 4 2'
_cell_length_a 2.852
_cell_length_b 2.852
_cell_length_c 9.548
_cell_angle_alpha 90.00
_cell_angle_beta 90.00
_cell_angle_gamma 90.00
loop_
_atom_site_label
_atom_site_fract_x
_atom_site_fract_y
_atom_site_fract_z
Ca1 0.000 0.000 0.239
Re1 0.500 0.500 0.500
Ru1 0.500 0.500 0.000
```



Structures ranked by computed energy, the most stable listed first: (A), (D), (C), (B).